Entry 1:
# LaTl2Ge2 (PBE, optimized geometry)
# Calculated volume (Å³/f.u.): 138.22
# Distance to the lowest polymorph of the same formula (eV per atom): 0.000
# ρ (kg/m³): 8325
# ΔH_f (0 K) (eV/atom): -0.176
data_LaTl2Ge2
_chemical_formula_sum 'La2 Tl4 Ge4'
_space_group_name_H-M_alt 'I 4/m m m'
_space_group_IT_number 139
_space_group_name_Hall '-I 4 2'
_cell_length_a 4.4592
_cell_length_b 4.4592
_cell_length_c 13.9018
_cell_angle_alpha 90.00
_cell_angle_beta 90.00
_cell_angle_gamma 90.00
loop_
_atom_site_label
_atom_site_fract_x
_atom_site_fract_y
_atom_site_fract_z
La1 0.0000 0.0000 0.0000
Tl1 0.0000 0.5000 0.2500
Ge1 0.0000 0.0000 0.4129



Entry 2:
# La6TlGe2 (PBE, optimized geometry)
# Calculated volume (Å³/f.u.): 286.77
# ρ (kg/m³): 6851
# ΔH_f (0 K) (eV/atom): -0.517
data_La6TlGe2
_chemical_formula_sum 'La24 Tl4 Ge8'
_space_group_name_H-M_alt 'I m m m'
_space_group_IT_number 71
_space_group_name_Hall '-I 2 2'
_cell_length_a 10.1680
_cell_length_b 10.4739
_cell_length_c 10.7711
_cell_angle_alpha 90.00
_cell_angle_beta 90.00
_cell_angle_gamma 90.00
loop_
_atom_site_label
_atom_site_fract_x
_atom_site_fract_y
_atom_site_fract_z
La1 0.0000 0.2045 0.2498
La2 0.2059 0.5000 0.1744
La3 0.2261 0.3193 0.5000
Tl1 0.0000 0.0000 0.0000
Tl2 0.0000 0.0000 0.5000
Ge1 0.0000 0.3605 0.0000
Ge2 0.0000 0.5000 0.3821



Entry 3:
# La2Tl2Ge (PBE, optimized geometry)
# Calculated volume (Å³/f.u.): 171.18
# Distance to the lowest polymorph of the same formula (eV per atom): 0.610
# ρ (kg/m³): 7365
# ΔH_f (0 K) (eV/atom): 0.266
data_La2Tl2Ge
_chemical_formula_sum 'La4 Tl4 Ge2'
_space_group_name_H-M_alt 'I 4/m m m'
_space_group_IT_number 139
_space_group_name_Hall '-I 4 2'
_cell_length_a 4.9613
_cell_length_b 4.9613
_cell_length_c 13.9086
_cell_angle_alpha 90.00
_cell_angle_beta 90.00
_cell_angle_gamma 90.00
loop_
_atom_site_label
_atom_site_fract_x
_atom_site_fract_y
_atom_site_fract_z
La1 0.0000 0.5000 0.2500
Tl1 0.0000 0.0000 0.0979
Ge1 0.0000 0.0000 0.5000



> calculated volume of number 2 (La6TlGe2)?

286.77 Å³/f.u.